Entry 1:
! MoW3Se8, relaxed, DFT GGA-PBEsol; values from VASP
&SYSTEM
  ibrav = 0, nat = 12, ntyp = 3
/
ATOMIC_SPECIES
Mo 95.94 Mo.upf
W 183.84 W.upf
Se 78.96 Se.upf
CELL_PARAMETERS angstrom
-2.505 0.907 1.896
1.532 -2.834 0.561
16.632 12.188 16.149
ATOMIC_POSITIONS crystal
Mo 0.000 0.000 0.749
W 0.333 0.667 0.998
W 0.333 0.667 0.500
W 0.000 0.000 0.250
Se 0.333 0.667 0.685
Se 0.333 0.667 0.186
Se 0.000 0.000 0.062
Se 0.000 0.000 0.564
Se 0.000 0.000 0.934
Se 0.000 0.000 0.436
Se 0.333 0.667 0.812
Se 0.333 0.667 0.314
! Uncorrected formation energy, eV/atom: -0.620
! SG: P3m1 (156)
! Total magnetic moment, μB/f.u.: 0.0


Entry 2:
! NaCa9MnP7O28, relaxed, DFT GGA-PBEsol; values from VASP
&SYSTEM
  ibrav = 0, nat = 92, ntyp = 5
/
ATOMIC_SPECIES
Na 22.99 Na.upf
Ca 40.08 Ca.upf
Mn 54.94 Mn.upf
P 30.97 P.upf
O 16.00 O.upf
CELL_PARAMETERS angstrom
10.352 0.000 0.000
5.176 8.965 0.000
5.176 2.988 12.302
ATOMIC_POSITIONS crystal
Na 0.687 0.687 0.938
Na 0.187 0.187 0.438
Ca 0.947 0.972 0.523
Ca 0.160 0.574 0.701
Ca 0.574 0.564 0.701
Ca 0.559 0.947 0.523
Ca 0.972 0.559 0.523
Ca 0.472 0.447 0.023
Ca 0.059 0.472 0.023
Ca 0.447 0.059 0.023
Ca 0.348 0.941 0.804
Ca 0.907 0.348 0.804
Ca 0.564 0.160 0.701
Ca 0.441 0.848 0.304
Ca 0.407 0.441 0.304
Ca 0.848 0.407 0.304
Ca 0.660 0.064 0.201
Ca 0.074 0.660 0.201
Ca 0.064 0.074 0.201
Ca 0.941 0.907 0.804
Mn 0.001 0.001 0.997
Mn 0.501 0.501 0.497
P 0.809 0.771 0.095
P 0.227 0.686 0.904
P 0.183 0.227 0.904
P 0.686 0.183 0.904
P 0.325 0.809 0.095
P 0.771 0.325 0.095
P 0.727 0.683 0.404
P 0.309 0.825 0.595
P 0.271 0.309 0.595
P 0.825 0.271 0.595
P 0.767 0.767 0.698
P 0.267 0.267 0.198
P 0.683 0.186 0.404
P 0.186 0.727 0.404
O 0.114 0.689 0.526
O 0.670 0.114 0.526
O 0.689 0.670 0.526
O 0.189 0.614 0.026
O 0.170 0.189 0.026
O 0.614 0.170 0.026
O 0.365 0.640 0.378
O 0.617 0.365 0.378
O 0.640 0.617 0.378
O 0.140 0.865 0.878
O 0.117 0.140 0.878
O 0.865 0.117 0.878
O 0.126 0.674 0.346
O 0.854 0.126 0.346
O 0.674 0.854 0.346
O 0.174 0.626 0.846
O 0.354 0.174 0.846
O 0.626 0.354 0.846
O 0.145 0.902 0.368
O 0.585 0.145 0.368
O 0.902 0.585 0.368
O 0.402 0.645 0.868
O 0.385 0.634 0.136
O 0.085 0.402 0.868
O 0.148 0.875 0.106
O 0.871 0.148 0.106
O 0.875 0.871 0.106
O 0.375 0.648 0.606
O 0.371 0.375 0.606
O 0.648 0.371 0.606
O 0.337 0.892 0.163
O 0.608 0.337 0.163
O 0.892 0.608 0.163
O 0.392 0.837 0.663
O 0.108 0.392 0.663
O 0.837 0.108 0.663
O 0.309 0.309 0.073
O 0.809 0.809 0.573
O 0.256 0.393 0.240
O 0.393 0.110 0.240
O 0.110 0.256 0.240
O 0.610 0.893 0.740
O 0.893 0.756 0.740
O 0.756 0.610 0.740
O 0.915 0.253 0.477
O 0.253 0.354 0.477
O 0.354 0.915 0.477
O 0.854 0.753 0.977
O 0.753 0.415 0.977
O 0.415 0.854 0.977
O 0.885 0.346 0.636
O 0.346 0.134 0.636
O 0.134 0.885 0.636
O 0.634 0.846 0.136
O 0.846 0.385 0.136
O 0.645 0.085 0.868
! Uncorrected formation energy, eV/atom: -2.812
! SG: R3c (161)
! Total magnetic moment, μB/f.u.: 5.0


Entry 3:
! K2BaCo, relaxed, DFT GGA-PBEsol; values from VASP
&SYSTEM
  ibrav = 0, nat = 4, ntyp = 3
/
ATOMIC_SPECIES
Ba 137.33 Ba.upf
Co 58.93 Co.upf
K 39.10 K.upf
CELL_PARAMETERS angstrom
-0.649 -0.943 -5.804
-2.907 -3.387 3.890
-5.865 0.523 0.571
ATOMIC_POSITIONS crystal
Ba 0.500 0.000 0.500
Co 0.750 0.500 0.750
K 0.000 0.000 0.000
K 0.250 0.500 0.250
! E_form, eV per atom: 0.834
! SG: F-43m (216)
! Total magnetic moment, μB/f.u.: 1.0


> What is the total magnetic moment in the third record?

1.0 μB/f.u.